## AcLaCu2Ge2 (GGA-PBE)

Data for a relaxed AcLaCu2Ge2 crystal.

Cell lengths 4.3845, 4.3845, 8.3324 Å; angles 90.00, 90.00, 120.00 degrees
Element x y z (fractional)
Ac 0.0000 0.0000 0.0000
La 0.0000 0.0000 0.5000
Cu 0.3333 0.6667 0.7380
Cu 0.6667 0.3333 0.2620
Ge 0.3333 0.6667 0.2612
Ge 0.6667 0.3333 0.7388

## Properties
For the density, the calculation gives 7.6 Mg/m³. The energy relative to the elements is -0.639 eV per atom. Its symmetry is No. 164.



## LiAc2Cu3Ge4 (GGA-PBE)

Data for a relaxed LiAc2Cu3Ge4 crystal.

Cell lengths 4.3911, 4.3911, 10.2939 Å; angles 90.00, 90.00, 90.00 degrees
Element x y z (fractional)
Li 0.0000 0.0000 0.0000
Ac 0.0000 0.5000 0.7509
Ac 0.5000 0.0000 0.2491
Cu 0.0000 0.5000 0.3750
Cu 0.5000 0.0000 0.6250
Cu 0.5000 0.5000 0.0000
Ge 0.0000 0.0000 0.5000
Ge 0.0000 0.5000 0.1316
Ge 0.5000 0.0000 0.8684
Ge 0.5000 0.5000 0.5000

## Properties
For the density, the calculation gives 7.9 Mg/m³. The energy relative to the elements is -0.501 eV per atom. Its symmetry is No. 115.



## LiAc2Cu4Ge3 (GGA-PBE)

Data for a relaxed LiAc2Cu4Ge3 crystal.

Cell lengths 4.3902, 4.3902, 10.0446 Å; angles 90.00, 90.00, 90.00 degrees
Element x y z (fractional)
Li 0.0000 0.0000 0.0000
Ac 0.0000 0.5000 0.7420
Ac 0.5000 0.0000 0.2580
Cu 0.0000 0.0000 0.5000
Cu 0.0000 0.5000 0.1224
Cu 0.5000 0.0000 0.8776
Cu 0.5000 0.5000 0.5000
Ge 0.0000 0.5000 0.3708
Ge 0.5000 0.0000 0.6292
Ge 0.5000 0.5000 0.0000

## Properties
For the density, the calculation gives 8.0 Mg/m³. The energy relative to the elements is -0.443 eV per atom. Its symmetry is No. 115.



## LiAcCu2Ge2 (GGA-PBE)

Data for a relaxed LiAcCu2Ge2 crystal.

Cell lengths 4.2547, 4.2547, 7.2668 Å; angles 90.00, 90.00, 120.00 degrees
Element x y z (fractional)
Li 0.0000 0.0000 0.0000
Ac 0.0000 0.0000 0.5000
Cu 0.3333 0.6667 0.1503
Cu 0.6667 0.3333 0.8497
Ge 0.3333 0.6667 0.7971
Ge 0.6667 0.3333 0.2029

## Properties
For the density, the calculation gives 7.4 Mg/m³. The energy relative to the elements is -0.443 eV per atom. Its symmetry is No. 164.



## LiAcCuGe2 (GGA-PBE)

Data for a relaxed LiAcCuGe2 crystal.

Cell lengths 6.0960, 6.0960, 6.0960 Å; angles 137.92, 137.92, 61.02 degrees
Element x y z (fractional)
Li 0.0000 0.0000 0.0000
Ac 0.7500 0.2500 0.5000
Cu 0.5000 0.5000 0.0000
Ge 0.1265 0.6265 0.5000
Ge 0.3735 0.8735 0.5000

## Properties
For the density, the calculation gives 7.3 Mg/m³. The energy relative to the elements is -0.545 eV per atom. Its symmetry is No. 119.



## AcLuCuGe (GGA-PBE)

Data for a relaxed AcLuCuGe crystal.

Cell lengths 5.1899, 5.1899, 5.1899 Å; angles 60.00, 60.00, 60.00 degrees
Element x y z (fractional)
Ac 0.0000 0.0000 0.0000
Lu 0.5000 0.5000 0.5000
Cu 0.2500 0.2500 0.2500
Ge 0.7500 0.7500 0.7500

## Properties
For the density, the calculation gives 9.0 Mg/m³. The energy relative to the elements is -0.345 eV per atom. Its symmetry is No. 216.



## AcMgCuGe (GGA-PBE)

Data for a relaxed AcMgCuGe crystal.

Cell lengths 5.1125, 5.1125, 5.1125 Å; angles 60.00, 60.00, 60.00 degrees
Element x y z (fractional)
Ac 0.0000 0.0000 0.0000
Mg 0.5000 0.5000 0.5000
Cu 0.7500 0.7500 0.7500
Ge 0.2500 0.2500 0.2500

## Properties
For the density, the calculation gives 6.8 Mg/m³. The energy relative to the elements is -0.269 eV per atom. Its symmetry is No. 216.



## Ac2MgCu3Ge4 (GGA-PBE)

Data for a relaxed Ac2MgCu3Ge4 crystal.

Cell lengths 4.4024, 4.4024, 10.5668 Å; angles 90.00, 90.00, 90.00 degrees
Element x y z (fractional)
Ac 0.0000 0.5000 0.2404
Ac 0.5000 0.0000 0.7596
Mg 0.0000 0.0000 0.5000
Cu 0.0000 0.5000 0.8800
Cu 0.5000 0.0000 0.1200
Cu 0.5000 0.5000 0.5000
Ge 0.0000 0.0000 0.0000
Ge 0.0000 0.5000 0.6433
Ge 0.5000 0.0000 0.3567
Ge 0.5000 0.5000 0.0000

## Properties
For the density, the calculation gives 7.8 Mg/m³. The energy relative to the elements is -0.501 eV per atom. Its symmetry is No. 115.